Entry 1:
BaSr3Pd | Alexandria | PBE | relaxed; electronic total energy = -2.549 eV/atom; formation energy from the elements = -0.116 eV/atom; space group = Fd-3m; density = 3.1 Mg/m³
1.0
0.0000 8.1682 8.1682
8.1682 0.0000 8.1682
8.1682 8.1682 0.0000
Ba Sr Pd
4 12 4
direct
0.6250 0.1250 0.6250 Ba
0.6250 0.6250 0.6250 Ba
0.1250 0.6250 0.6250 Ba
0.6250 0.6250 0.1250 Ba
0.8181 0.1819 0.8181 Sr
0.4319 0.0681 0.4319 Sr
0.0681 0.4319 0.4319 Sr
0.4319 0.4319 0.0681 Sr
0.1819 0.1819 0.8181 Sr
0.8181 0.8181 0.1819 Sr
0.8181 0.1819 0.1819 Sr
0.0681 0.0681 0.4319 Sr
0.0681 0.4319 0.0681 Sr
0.4319 0.0681 0.0681 Sr
0.1819 0.8181 0.1819 Sr
0.1819 0.8181 0.8181 Sr
0.1250 0.1250 0.1250 Pd
0.6250 0.1250 0.1250 Pd
0.1250 0.1250 0.6250 Pd
0.1250 0.6250 0.1250 Pd

Entry 2:
SrBi2H | Alexandria | PBE | relaxed; electronic total energy = -2.879 eV/atom; space group = Fm-3m; density = 7.2 Mg/m³
1.0
0.0000 3.8737 3.8737
3.8737 0.0000 3.8737
3.8737 3.8737 0.0000
H Sr Bi
1 1 2
direct
0.0000 0.0000 0.0000 H
0.5000 0.5000 0.5000 Sr
0.7500 0.7500 0.7500 Bi
0.2500 0.2500 0.2500 Bi

Entry 3:
CaMg3Pt | Alexandria | PBE | relaxed; electronic total energy = -1.203 eV/atom; formation energy from the elements = 1.362 eV/atom; space group = Pm-3m; density = 2.9 Mg/m³
1.0
5.6371 0.0000 0.0000
0.0000 5.6371 0.0000
0.0000 0.0000 5.6371
Ca Mg Pt
1 3 1
direct
0.0000 0.0000 0.0000 Ca
0.0000 0.5000 0.0000 Mg
0.0000 0.0000 0.5000 Mg
0.5000 0.0000 0.0000 Mg
0.5000 0.5000 0.5000 Pt

Entry 4:
Sr3BeS | Alexandria | PBE | relaxed; uncorrected formation energy = -1.7 eV/f.u.; electronic total energy = -2.921 eV/atom; space group = Pm-3m; density = 2.7 Mg/m³
1.0
5.7163 0.0000 0.0000
0.0000 5.7163 0.0000
0.0000 0.0000 5.7163
Sr Be S
3 1 1
direct
0.5000 0.0000 0.0000 Sr
0.0000 0.0000 0.5000 Sr
0.0000 0.5000 0.0000 Sr
0.5000 0.5000 0.5000 Be
0.0000 0.0000 0.0000 S